Entry from Alexandria: crystalline BaYOs2 at its relaxed geometry (PBE-GGA).

Crystal system: monoclinic
E above lowest polymorph in meV per atom: 0
Formation energy from the elements in meV/atom: 104
Density in Mg/m³: 8.05
Magnetization in μB/f.u.: 0.85
Total energy in eV per cell: -60.9

abc: 7.4018 4.2699 8.2923
angles: 90.00 107.20 90.00
Last column: nearest neighbours and their distance in Å.
Space group Cm (No. 8)
One atom of each set of equivalent atoms:
Ba1 0.0000 0.0000 0.0000 [2 per cell]  6 Os 3.40-3.56
Y1 0.3245 0.5000 0.4701 [2 per cell]  6 Os 2.96-3.09
Os1 0.0691 0.5000 0.7054 [2 per cell]  3 Os 2.48
Os2 0.2264 0.0000 0.6766 [2 per cell]  3 Os 2.48